No. 1
{
  "formula": "Mn2AsOs",
  "functional": "PBE",
  "state": "relaxed",
  "e_form_kj_per_mol_atoms": 81.75,
  "dos_ef_per_ev_cell": 7.489,
  "magmom_total_mub_per_atom": 0.000,
  "lattice": [[-2.667, 2.667, 5.201], [2.667, -2.667, 5.201], [2.667, 2.667, -5.201]],
  "species": ["Mn", "Mn", "Mn", "Mn", "As", "As", "Os", "Os"],
  "frac_coords": [[0.120, 0.625, 0.995], [0.375, 0.370, 0.495], [0.630, 0.125, 0.005], [0.875, 0.880, 0.505], [0.250, 0.750, 0.500], [0.500, 0.500, 0.000], [0.000, 0.000, 0.000], [0.750, 0.250, 0.500]]
}

***

No. 2
{
  "formula": "Ti3Sn",
  "functional": "PBE",
  "state": "relaxed",
  "e_form_kj_per_mol_atoms": -18.80,
  "dos_ef_per_ev_cell": 3.182,
  "magmom_total_mub_per_atom": 0.408,
  "lattice": [[0.000, 3.296, 3.296], [3.296, 0.000, 3.296], [3.296, 3.296, 0.000]],
  "species": ["Ti", "Ti", "Ti", "Sn"],
  "frac_coords": [[0.000, 0.000, 0.000], [0.250, 0.250, 0.250], [0.750, 0.750, 0.750], [0.500, 0.500, 0.500]]
}